Entry from Alexandria: crystalline La2MnF at its relaxed geometry (PBE+U).

a b c (Å): 6.658 6.658 6.658
angles (deg): 110.00 110.00 108.42
Atoms (fractional coordinates):
La (0.036, 0.625, 0.911)
La (0.375, 0.286, 0.411)
La (0.714, 0.125, 0.089)
La (0.875, 0.964, 0.589)
Mn (0.250, 0.750, 0.500)
Mn (0.500, 0.500, 0.000)
F (0.000, 0.000, 0.000)
F (0.750, 0.250, 0.500)

Space group   I-42d, No. 122
Density   5.143 g/cm³
Magnetization   0.9437 μB per atom
DFT total energy   -5.727 eV/atom